# CaAc2Er, relaxed, DFT PBE
data_CaAc2Er
_chemical_formula_sum 'Ca3 Ac6 Er3'
_cell_length_a 3.7315
_cell_length_b 3.7315
_cell_length_c 40.5080
_cell_angle_alpha 90.00
_cell_angle_beta 90.00
_cell_angle_gamma 120.00
_symmetry_space_group_name_H-M 'R -3 m'
_symmetry_Int_Tables_number 166
_symmetry_space_group_name_Hall '-R 3 2"'
loop_
_atom_site_label
_atom_site_fract_x
_atom_site_fract_y
_atom_site_fract_z
Ca1 0.0000 0.0000 0.0000
Ac1 0.0000 0.0000 0.4160
Er1 0.0000 0.0000 0.5000
# **Formation energy**: 0.278 eV per atom
# **Calculated density**: 6.7 g/cm³
# **Crystal system**: trigonal
# **Distance to the lowest polymorph of the same formula**: 86.5 kJ/mol of formula units



# Ca2Ac12Er, relaxed, DFT PBE
data_Ca2Ac12Er
_chemical_formula_sum 'Ca4 Ac24 Er2'
_cell_length_a 7.1951
_cell_length_b 7.1951
_cell_length_c 27.9211
_cell_angle_alpha 90.00
_cell_angle_beta 90.00
_cell_angle_gamma 90.00
_symmetry_space_group_name_H-M 'P 4/n b m'
_symmetry_Int_Tables_number 125
loop_
_symmetry_equiv_pos_as_xyz
'x,y,z'
'-x,-y,-z'
'-y+1/2,x,z'
'y+1/2,-x,-z'
'-x+1/2,-y+1/2,z'
'x+1/2,y+1/2,-z'
'y,-x+1/2,z'
'-y,x+1/2,-z'
'x,-y+1/2,-z'
'-x,y+1/2,z'
'-y+1/2,-x+1/2,-z'
'y+1/2,x+1/2,z'
'-x+1/2,y,-z'
'x+1/2,-y,z'
'y,x,-z'
'-y,-x,z'
loop_
_atom_site_label
_atom_site_fract_x
_atom_site_fract_y
_atom_site_fract_z
Ca1 0.2500 0.7500 0.2298
Ac1 0.0626 0.5626 0.3952
Ac2 0.0785 0.5785 0.0609
Ac3 0.2500 0.2500 0.1630
Ac4 0.2500 0.2500 0.2930
Er1 0.2500 0.7500 0.5000
# **Formation energy**: 0.356 eV per atom
# **Calculated density**: 6.8 g/cm³
# **Crystal system**: tetragonal



# CaAcEr, relaxed, DFT PBE
data_CaAcEr
_chemical_formula_sum 'Ca1 Ac1 Er1'
_cell_length_a 3.7959
_cell_length_b 3.7959
_cell_length_c 9.2732
_cell_angle_alpha 90.00
_cell_angle_beta 90.00
_cell_angle_gamma 120.00
_symmetry_space_group_name_H-M 'P 3 m 1'
_symmetry_Int_Tables_number 156
loop_
_symmetry_equiv_pos_as_xyz
'x,y,z'
'-y,x-y,z'
'-x+y,-x,z'
'-y,-x,z'
'-x+y,y,z'
'x,x-y,z'
loop_
_atom_site_label
_atom_site_fract_x
_atom_site_fract_y
_atom_site_fract_z
Ca1 0.0000 0.0000 0.0000
Ac1 0.3333 0.6667 0.6379
Er1 0.6667 0.3333 0.3251
# **Formation energy**: 0.078 eV per atom
# **Calculated density**: 6.2 g/cm³
# **Crystal system**: trigonal
# **Distance to the lowest polymorph of the same formula**: 5.6 kJ/mol of formula units



Q: The highest formation energy belongs to which entry?
A: Ca2Ac12Er



Q: Which value of formation energy does entry 1 give?
A: 0.278 eV per atom



Q: Which value of formation energy does entry 1 give?
A: 0.278 eV per atom



Q: Among the records above, which one has the lowest calculated density?
A: CaAcEr